Below is ZrTe2Os after structural relaxation, with properties calculated at the PBE-GGA level.

Raw formation energy: -85 meV per atom
Crystal system: monoclinic
Calculated density: 7.58 g/cm3
SG: Cm, No. 8
Relative energy among the computed polymorphs: 217 meV/atom
Calculated volume: 29.4 Å³/atom

a b c (Å): 5.002 5.002 6.909
angles (deg): 94.98 94.98 43.10
Fractional coordinates of all 4 atoms:
Zr  0.000  0.000  0.000
Te  0.503  0.503  0.670
Te  0.739  0.739  0.189
Os  0.289  0.289  0.914